Record 1
Ca3ZrSi | SCAN | PBEsol geometry

Cell: 5.5548 5.5548 5.5548 Å, 90.00 90.00 90.00°
Closest atoms and distances in Å follow each position.
Positions (direct):
Ca: 0.0000 0.5000 0.0000  2 Si 2.78
Ca: 0.0000 0.0000 0.5000  2 Si 2.78
Ca: 0.5000 0.0000 0.0000  2 Si 2.78
Si: 0.0000 0.0000 0.0000  6 Ca 2.78
Zr: 0.5000 0.5000 0.5000  12 Ca 3.93

Results
The calculation puts the formation energy from raw total energies at 0.41 eV/atom. For the total energy, the calculation gives -13.529 eV per atom.

***

Record 2
CaSmZn2 | SCAN | PBEsol geometry

Cell: 5.0583 5.0583 5.0583 Å, 60.00 60.00 60.00°
Closest atoms and distances in Å follow each position.
Positions (direct):
Zn: 0.2500 0.2500 0.2500  4 Sm 3.10, 4 Ca 3.10
Zn: 0.7500 0.7500 0.7500  4 Sm 3.10, 4 Ca 3.10
Ca: 0.5000 0.5000 0.5000  8 Zn 3.10
Sm: 0.0000 0.0000 0.0000  8 Zn 3.10

Results
For the total energy, the calculation gives -20.643 eV per atom.

***

Record 3
SrCaSn | SCAN | PBEsol geometry

Cell: 5.1242 8.2738 9.5137 Å, 90.00 90.00 90.00°
Closest atoms and distances in Å follow each position.
Positions (direct):
Sr: 0.2500 0.0205 0.6846  5 Sn 3.44-3.69, 3 Ca 3.74-3.84
Sr: 0.7500 0.9795 0.3154  5 Sn 3.44-3.69, 3 Ca 3.74-3.84
Sr: 0.2500 0.5205 0.8154  5 Sn 3.44-3.69, 3 Ca 3.74-3.84
Sr: 0.7500 0.4795 0.1846  5 Sn 3.44-3.69, 3 Ca 3.74-3.84
Ca: 0.2500 0.1519 0.0712  4 Sn 3.16-3.23
Ca: 0.7500 0.8481 0.9288  4 Sn 3.16-3.23
Ca: 0.2500 0.6519 0.4288  4 Sn 3.16-3.23
Ca: 0.7500 0.3481 0.5712  4 Sn 3.16-3.23
Sn: 0.2500 0.2635 0.3917  4 Ca 3.16-3.23, 1 Sr 3.44
Sn: 0.7500 0.7365 0.6083  4 Ca 3.16-3.23, 1 Sr 3.44
Sn: 0.2500 0.7635 0.1083  4 Ca 3.16-3.23, 1 Sr 3.44
Sn: 0.7500 0.2365 0.8917  4 Ca 3.16-3.23, 1 Sr 3.44

Results
For the total energy, the calculation gives -23.380 eV per atom.

***

Record 4
CaTa3Sn | SCAN | PBEsol geometry

Cell: 5.0744 5.0744 5.0744 Å, 90.00 90.00 90.00°
Closest atoms and distances in Å follow each position.
Positions (direct):
Ca: 0.5000 0.5000 0.5000  12 Ta 3.59
Sn: 0.0000 0.0000 0.0000  6 Ta 2.54
Ta: 0.0000 0.5000 0.0000  2 Sn 2.54
Ta: 0.0000 0.0000 0.5000  2 Sn 2.54
Ta: 0.5000 0.0000 0.0000  2 Sn 2.54

Results
For the total energy, the calculation gives -47.346 eV per atom.

***

Record 5
Ca2TaTiSn | SCAN | PBEsol geometry

Cell: 5.1594 5.1594 5.1420 Å, 90.00 90.00 90.00°
Closest atoms and distances in Å follow each position.
Positions (direct):
Ca: 0.0000 0.5000 0.0000  2 Ti 2.58
Ca: 0.5000 0.0000 0.0000  2 Ti 2.58
Ti: 0.0000 0.0000 0.0000  2 Sn 2.57, 4 Ca 2.58
Sn: 0.0000 0.0000 0.5000  2 Ti 2.57
Ta: 0.5000 0.5000 0.5000  8 Ca 3.64, 4 Sn 3.65

Results
For the total energy, the calculation gives -26.242 eV per atom.

***

Record 6
CaSn2Te2 | SCAN | PBEsol geometry

Cell: 6.0101 6.1762 6.0101 Å, 60.89 90.00 119.11°
Closest atoms and distances in Å follow each position.
Positions (direct):
Ca: 0.0000 0.0000 0.0000  2 Sn 3.04
Te: 0.7500 0.5000 0.7500  4 Sn 3.11
Te: 0.2500 0.5000 0.2500  4 Sn 3.11
Sn: 0.6609 0.3218 0.3391  1 Sn 2.88, 1 Ca 3.04, 4 Te 3.11
Sn: 0.3391 0.6782 0.6609  1 Sn 2.88, 1 Ca 3.04, 4 Te 3.11

Results
The calculation puts the formation energy from raw total energies at -0.42 eV/atom. For the total energy, the calculation gives -31.625 eV per atom.

***

Record 7
CaZr2TlSn | SCAN | PBEsol geometry

Cell: 5.0053 5.0053 5.3962 Å, 90.00 90.00 90.00°
Closest atoms and distances in Å follow each position.
Positions (direct):
Tl: 0.5000 0.5000 0.5000  4 Sn 3.54, 8 Zr 3.68
Ca: 0.0000 0.0000 0.0000  4 Zr 2.50, 2 Sn 2.70
Sn: 0.0000 0.0000 0.5000  2 Ca 2.70
Zr: 0.0000 0.5000 0.0000  2 Ca 2.50
Zr: 0.5000 0.0000 0.0000  2 Ca 2.50

Results
For the total energy, the calculation gives -34.595 eV per atom.

***

Record 8
Ca2ZnSn | SCAN | PBEsol geometry

Cell: 5.2442 5.2442 5.2442 Å, 60.00 60.00 60.00°
Closest atoms and distances in Å follow each position.
Positions (direct):
Zn: 0.0000 0.0000 0.0000  8 Ca 3.21
Ca: 0.2500 0.2500 0.2500  4 Sn 3.21, 4 Zn 3.21
Ca: 0.7500 0.7500 0.7500  4 Sn 3.21, 4 Zn 3.21
Sn: 0.5000 0.5000 0.5000  8 Ca 3.21

Results
For the total energy, the calculation gives -17.751 eV per atom.

***

Record 9
CaZnSn | SCAN | PBEsol geometry

Cell: 4.5721 4.5721 15.5359 Å, 90.00 90.00 120.00°
Closest atoms and distances in Å follow each position.
Positions (direct):
Zn: 0.6667 0.3333 0.8921  3 Sn 2.65
Zn: 0.3333 0.6667 0.3921  3 Sn 2.65
Zn: 0.6667 0.3333 0.6079  3 Sn 2.65
Zn: 0.3333 0.6667 0.1079  3 Sn 2.65
Ca: 0.0000 0.0000 0.0000  6 Zn 3.13, 6 Sn 3.27
Ca: 0.0000 0.0000 0.2500  6 Sn 3.29, 6 Zn 3.44
Ca: 0.0000 0.0000 0.5000  6 Zn 3.13, 6 Sn 3.27
Ca: 0.0000 0.0000 0.7500  6 Sn 3.29, 6 Zn 3.44
Sn: 0.3333 0.6667 0.6238  3 Zn 2.65
Sn: 0.6667 0.3333 0.1238  3 Zn 2.65
Sn: 0.6667 0.3333 0.3762  3 Zn 2.65
Sn: 0.3333 0.6667 0.8762  3 Zn 2.65

Results
For the total energy, the calculation gives -20.237 eV per atom.

***

Record 10
CaZnSn | SCAN | PBEsol geometry

Cell: 4.6120 4.6120 7.4044 Å, 90.00 90.00 120.00°
Closest atoms and distances in Å follow each position.
Positions (direct):
Zn: 0.3333 0.6667 0.4443  4 Sn 2.75-3.03, 3 Ca 3.01
Zn: 0.6667 0.3333 0.9443  4 Sn 2.75-3.03, 3 Ca 3.01
Ca: 0.0000 0.0000 0.2551  3 Zn 3.01, 3 Sn 3.12
Ca: 0.0000 0.0000 0.7551  3 Zn 3.01, 3 Sn 3.12
Sn: 0.3333 0.6667 0.0348  4 Zn 2.75-3.03
Sn: 0.6667 0.3333 0.5348  4 Zn 2.75-3.03

Results
For the total energy, the calculation gives -20.304 eV per atom.

***

Record 11
Ca2Zn2Sn | SCAN | PBEsol geometry

Cell: 4.5597 7.1668 7.1668 Å, 90.00 90.00 90.00°
Closest atoms and distances in Å follow each position.
Positions (direct):
Zn: 0.0000 0.3805 0.8805  1 Zn 2.42
Zn: 0.0000 0.8805 0.6195  1 Zn 2.42
Zn: 0.0000 0.6195 0.1195  1 Zn 2.42
Zn: 0.0000 0.1195 0.3805  1 Zn 2.42
Ca: 0.5000 0.1819 0.6819  6 Zn 3.04-3.17
Ca: 0.5000 0.6819 0.8181  6 Zn 3.04-3.17
Ca: 0.5000 0.8181 0.3181  6 Zn 3.04-3.17
Ca: 0.5000 0.3181 0.1819  6 Zn 3.04-3.17
Sn: 0.0000 0.0000 0.0000  4 Zn 2.86
Sn: 0.0000 0.5000 0.5000  4 Zn 2.86

Results
For the total energy, the calculation gives -16.890 eV per atom.

***

Record 12
Ca2ZrSn | SCAN | PBEsol geometry

Cell: 5.3358 5.3358 5.3358 Å, 60.00 60.00 60.00°
Closest atoms and distances in Å follow each position.
Positions (direct):
Ca: 0.2500 0.2500 0.2500  4 Zr 3.27, 4 Sn 3.27
Ca: 0.7500 0.7500 0.7500  4 Zr 3.27, 4 Sn 3.27
Sn: 0.5000 0.5000 0.5000  8 Ca 3.27
Zr: 0.0000 0.0000 0.0000  8 Ca 3.27

Results
For the total energy, the calculation gives -21.562 eV per atom.

***

Record 13
CaZr3Sn | SCAN | PBEsol geometry

Cell: 5.3482 5.3482 5.3482 Å, 90.00 90.00 90.00°
Closest atoms and distances in Å follow each position.
Positions (direct):
Ca: 0.5000 0.5000 0.5000  12 Zr 3.78
Sn: 0.0000 0.0000 0.0000  6 Zr 2.67
Zr: 0.0000 0.5000 0.0000  2 Sn 2.67
Zr: 0.0000 0.0000 0.5000  2 Sn 2.67
Zr: 0.5000 0.0000 0.0000  2 Sn 2.67

Results
For the total energy, the calculation gives -26.952 eV per atom.

***

Record 14
CaZrSn3 | SCAN | PBEsol geometry

Cell: 5.3501 5.3501 5.3501 Å, 90.00 90.00 90.00°
Closest atoms and distances in Å follow each position.
Positions (direct):
Ca: 0.0000 0.0000 0.0000  6 Sn 2.68
Sn: 0.0000 0.5000 0.0000  2 Ca 2.68
Sn: 0.0000 0.0000 0.5000  2 Ca 2.68
Sn: 0.5000 0.0000 0.0000  2 Ca 2.68
Zr: 0.5000 0.5000 0.5000  12 Sn 3.78

Results
For the total energy, the calculation gives -28.656 eV per atom.